Record 1
{"formula": "PrNbAsO", "functional": "PBE-GGA", "state": "relaxed", "sg": "P4/nmm (129)", "volume_a3_per_cell": 146.1, "total_energy_ev_per_atom": -6.808, "e_above_lowest_polymorph_mev_per_atom": 1150.5, "lattice_angstrom": [[-1.758, -2.461, 2.944], [2.730, -3.078, -0.943], [5.241, 2.937, 5.585]], "species": ["O", "O", "Nb", "Nb", "As", "As", "Pr", "Pr"], "fractional_positions": [[0.750, 0.250, 0.000], [0.250, 0.750, 0.000], [0.250, 0.250, 0.090], [0.750, 0.750, 0.910], [0.750, 0.750, 0.238], [0.250, 0.250, 0.762], [0.750, 0.250, 0.500], [0.250, 0.750, 0.500]]}

=====

Record 2
{"formula": "NbAsPtO", "functional": "PBE-GGA", "state": "relaxed", "sg": "P4/nmm (129)", "volume_a3_per_cell": 113.6, "total_energy_ev_per_atom": -7.217, "e_above_lowest_polymorph_mev_per_atom": 19.1, "lattice_angstrom": [[3.751, 0.000, 0.000], [0.000, 3.751, 0.000], [0.000, 0.000, 8.075]], "species": ["Nb", "Nb", "Pt", "Pt", "As", "As", "O", "O"], "fractional_positions": [[0.750, 0.750, 0.843], [0.250, 0.250, 0.157], [0.250, 0.750, 0.500], [0.750, 0.250, 0.500], [0.250, 0.250, 0.723], [0.750, 0.750, 0.277], [0.250, 0.750, 0.000], [0.750, 0.250, 0.000]]}